Density functional theory data (PBE) for crystalline BaLiTc2O8 at its relaxed geometry.

```
12
Lattice="-4.0103 -3.5816 -0.3766 1.0607 -3.9695 -3.4885 3.0096 -4.6630 5.4857" Properties=species:S:1:pos:R:3 pbc="T T T"
O 0.8607 -4.9313 2.0173
Tc -1.2064 -5.7725 -1.2462
O -0.2707 -7.2345 3.2658
Li 0.0000 0.0000 0.0000
Ba 1.5048 -2.3315 2.7428
Tc 1.2664 -6.4416 2.8668
O 0.3307 -4.9797 -1.6452
O -0.8007 -7.2828 -0.3967
O -2.1596 -4.7891 -0.1170
O -2.1162 -6.0831 -2.6901
O 2.2196 -7.4250 1.7376
O 2.1763 -6.1310 4.3107
```

Its space group is No. 12.



Density functional theory data (PBE) for crystalline Ba3LiTc2O8 at its relaxed geometry.

```
14
Lattice="-0.0120 -5.6472 -1.4077 5.0059 2.6598 1.3184 -0.9822 -1.8657 7.4930" Properties=species:S:1:pos:R:3 pbc="T T T"
Ba 0.0000 0.0000 0.0000
Tc 0.8717 -4.3769 5.5204
O 1.3872 -0.6466 2.5824
O 2.3885 -1.9040 7.6179
O 3.8426 0.6580 3.2290
Ba 2.7124 -1.2886 5.1465
O 0.1692 -5.5110 4.1747
O 2.6246 -4.2064 4.8214
Tc 3.1401 -0.4761 1.8834
Li -0.4911 -0.9328 3.7465
O 1.6233 -2.9491 -0.2141
O 0.1751 -2.7411 4.8652
O 3.8367 -2.1119 2.5386
Ba 1.2994 -3.5644 2.2572
```

Its space group is No. 164.



Density functional theory data (PBE) for crystalline Ba4LiTc3O12 at its relaxed geometry.

```
20
Lattice="-1.5872 6.8034 -0.9848 -5.8303 -3.9048 -0.7317 2.6256 -0.8871 6.4880" Properties=species:S:1:pos:R:3 pbc="T T T"
Li 0.0000 0.0000 0.0000
O -1.3352 3.6828 2.3225
Tc -3.7087 1.4493 -0.8583
Tc 0.5192 2.9582 2.7516
O -1.3427 -0.9169 4.2540
Ba -2.3959 1.0057 2.3858
O -2.3498 -3.5137 4.2208
O -1.9786 0.7732 -0.4579
O -3.4491 2.9284 0.5176
O -4.5099 0.2513 0.5808
O -5.4389 2.1254 -1.2586
O -0.2820 1.7602 4.1907
Ba -2.9151 -1.9524 -0.3659
Ba -0.7936 3.4017 -0.4924
Tc -1.6023 -2.3960 2.8781
Ba 1.3128 -0.4435 3.2440
O 0.7614 4.3382 4.0353
O -3.4567 -1.6713 2.4490
O 0.2770 1.5782 1.4680
O -0.8548 -1.2782 1.5355
```

Its space group is No. 229.



Density functional theory data (PBE) for crystalline Ba3Li2TcO6 at its relaxed geometry.

```
12
Lattice="-0.9366 3.0676 -4.9701 -4.1708 -0.1873 4.1904 2.6517 5.4827 2.8843" Properties=species:S:1:pos:R:3 pbc="T T T"
O -0.6576 2.1783 1.4684
Ba -1.0574 3.9620 -0.8754
O -1.7981 6.1848 0.6362
O -2.8049 2.0819 3.6257
Ba 0.0000 0.0000 0.0000
Li 0.0251 6.2000 0.3020
Tc 1.3258 2.7414 1.4422
O 0.3492 6.2812 -1.5212
Li -2.4807 2.1631 1.8025
Ba -1.3983 4.4011 2.9799
O 0.8314 4.7019 1.0376
O -3.2871 3.6612 1.0670
```

Its space group is No. 164.



Density functional theory data (PBE) for crystalline Ba2LiTcO6 at its relaxed geometry.

```
20
Lattice="5.8095 0.0000 0.0000 2.9048 5.0312 0.0000 2.9048 1.6771 9.4938" Properties=species:S:1:pos:R:3 pbc="T T T"
O 5.8095 1.8006 5.8562
Ba 2.9048 1.6771 5.8793
Li 5.8095 3.3541 7.4623
O 5.8095 5.1480 8.3979
O 5.8095 4.9077 3.6376
O 7.1549 2.5774 3.6376
O 5.8095 1.5602 1.0959
O 4.4641 4.1309 5.8562
Tc 5.8095 3.3541 4.7469
O 7.3631 2.4572 8.3979
O 4.4641 2.5774 3.6376
Ba 2.9048 1.6771 1.3900
O 7.1549 4.1309 5.8562
O 4.2560 2.4572 8.3979
Tc 0.0000 0.0000 0.0000
Ba 8.7143 5.0312 8.1038
O 4.2560 4.2511 1.0959
O 7.3631 4.2511 1.0959
Ba 8.7143 5.0312 3.6145
Li 5.8095 3.3541 2.0315
```

Its space group is No. 166.



Density functional theory data (PBE) for crystalline Ba3LiTc2O9 at its relaxed geometry.

```
15
Lattice="-3.3295 -1.0293 4.5913 -0.0369 -3.6479 -4.4628 5.2780 -3.7166 2.9943" Properties=species:S:1:pos:R:3 pbc="T T T"
Li 2.6390 -1.8583 1.4971
O 0.8385 -5.7500 2.9373
Tc 2.1639 -4.9975 4.0671
O -1.6832 -2.3386 0.0643
O 0.8559 -4.0293 5.0423
O 1.0557 -4.3644 -1.9195
Ba 0.0000 0.0000 0.0000
Ba 2.3297 -5.2143 0.5205
O 1.0731 -2.6438 0.1855
O -0.0185 -1.8240 -2.2314
O -0.5148 -4.8499 0.2461
O -1.6647 -0.5146 2.2957
Ba -0.4181 -3.1794 2.6023
Tc -0.2522 -3.3962 -0.9443
O 2.4264 -3.5438 2.8767
```

Its space group is No. 164.



Density functional theory data (PBE) for crystalline BaLiTc2O7 at its relaxed geometry.

```
11
Lattice="-2.6375 -1.5253 2.4616 -2.2378 -1.0398 -3.0420 6.7731 -6.8659 -0.1138" Properties=species:S:1:pos:R:3 pbc="T T T"
Ba -2.4376 -1.2826 -0.2902
O -0.1414 -2.3571 -1.6121
Li 1.0488 -4.5941 -1.7230
O 0.0000 0.0000 0.0000
O 2.2390 -6.8312 -1.8339
O 1.8512 -3.4794 -0.1725
O 2.0902 -7.1698 0.9131
Tc 0.8858 -7.5291 -0.5999
Tc 1.0119 -1.9020 -0.0943
O -0.3922 -2.5040 1.1445
O 0.0466 -5.9516 -0.5217
```

Its space group is No. 119.



Density functional theory data (PBE) for crystalline Ba2Li3TcO6 at its relaxed geometry.

```
12
Lattice="6.6160 -0.3969 0.0381 -3.6502 5.5322 0.0381 -0.9557 -1.6547 4.8278" Properties=species:S:1:pos:R:3 pbc="T T T"
O -0.8953 1.2968 1.2557
Li 1.0051 1.7403 2.4520
Ba 3.2507 1.5467 0.0381
Ba -0.2849 3.5886 0.0381
Tc 0.0000 0.0000 0.0000
Li 5.1612 -0.6600 2.4520
Li -3.1510 4.1406 2.4520
O 1.5707 -0.1274 1.2557
O 2.9055 2.1838 3.6483
O 2.0918 3.6219 1.1085
O 0.4395 3.6080 3.6483
O -0.0816 -0.1413 3.7955
```

Its space group is No. 12.



Density functional theory data (PBE) for crystalline Ba2Li2TeO6 at its relaxed geometry.

```
11
Lattice="-0.2166 4.9874 -3.0947 -3.9399 4.1359 1.3674 2.0467 5.2259 2.7051" Properties=species:S:1:pos:R:3 pbc="T T T"
Ba -0.3261 3.7155 0.4369
O -0.6294 5.9832 -1.4610
O 0.6371 6.1433 1.7039
O 0.5206 8.8237 0.0407
Li -1.8787 6.6502 -0.2986
O -1.4803 8.3660 2.4387
Li -0.2311 7.6990 1.2763
Te 0.0000 0.0000 0.0000
Ba -1.7836 10.6338 0.5409
O -2.6304 5.5256 0.9371
O -2.7468 8.2059 -0.7261
```

Its space group is No. 166.



Density functional theory data (PBE) for crystalline BaLiTeO4 at its relaxed geometry.

```
7
Lattice="6.0559 0.0000 0.0000 3.0280 5.2446 0.0000 3.0280 1.7482 4.9447" Properties=species:S:1:pos:R:3 pbc="T T T"
O 7.5405 2.6393 1.8663
O 6.0559 5.2106 1.8663
O 6.0559 3.4964 4.2905
O 4.5714 2.6393 1.8663
Li 6.0559 3.4964 2.4723
Ba 9.0839 5.2446 3.7085
Te 3.0280 1.7482 1.2362
```

Its space group is No. 216.



Density functional theory data (PBE) for crystalline Ba3Li2TeO6 at its relaxed geometry.

```
12
Lattice="6.0698 0.0000 0.0000 -3.0349 5.2566 0.0000 0.0000 0.0000 6.9137" Properties=species:S:1:pos:R:3 pbc="T T T"
O 0.0000 1.7350 2.1258
Ba 3.0349 1.7522 2.5168
Li 0.0000 3.5044 1.5612
O -1.5323 4.3890 2.1258
Ba 0.0000 0.0000 0.0000
Te 0.0000 0.0000 3.4569
O 4.5672 0.8675 4.7880
O 1.5026 0.8675 4.7880
O 3.0349 3.5215 4.7880
O 1.5323 4.3890 2.1258
Li 3.0349 1.7522 5.3525
Ba 0.0000 3.5044 4.3969
```

Its space group is No. 164.



Density functional theory data (PBE) for crystalline Ba3LiTe2O6 at its relaxed geometry.

```
12
Lattice="5.9244 0.0000 0.0000 -2.9622 5.1307 0.0000 0.0000 0.0000 7.0372" Properties=species:S:1:pos:R:3 pbc="T T T"
Ba 0.0000 0.0000 0.0000
O 4.3581 0.9043 4.8501
O 0.0000 1.8086 2.1871
O -1.3959 4.2264 2.1871
O 1.3959 4.2264 2.1871
O 1.5663 0.9043 4.8501
Te 2.9622 1.7102 6.0266
O 2.9622 3.3221 4.8501
Li 0.0000 0.0000 3.5186
Ba 2.9622 1.7102 2.5364
Ba 0.0000 3.4204 4.5007
Te 0.0000 3.4204 1.0106
```

Its space group is No. 164.



Density functional theory data (PBE) for crystalline Ba3LiTe2O9 at its relaxed geometry.

```
15
Lattice="5.9254 0.0000 0.0000 -2.9627 5.1316 0.0000 0.0000 0.0000 7.2816" Properties=species:S:1:pos:R:3 pbc="T T T"
O 1.4037 4.2315 2.3242
Ba 2.9627 1.7105 2.4878
O 0.0000 1.8002 2.3242
Li 0.0000 0.0000 3.6408
Te 2.9627 1.7105 5.9981
O 4.3664 0.9001 4.9574
O 2.9627 3.3314 4.9574
Te 0.0000 3.4210 1.2836
O 2.9627 0.0000 0.0000
Ba 0.0000 3.4210 4.7938
O 1.5590 0.9001 4.9574
O -1.4037 4.2315 2.3242
Ba 0.0000 0.0000 0.0000
O -1.4814 2.5658 0.0000
O 1.4814 2.5658 0.0000
```

Its space group is No. 164.



Density functional theory data (PBE) for crystalline Ba2LiTe2O6 at its relaxed geometry.

```
11
Lattice="-4.2921 -1.0723 4.9167 2.8398 -5.9991 -3.2780 3.8461 2.7528 3.9578" Properties=species:S:1:pos:R:3 pbc="T T T"
O 1.6481 1.6187 4.4727
Li -0.2230 0.8403 4.4373
O 0.6564 -3.1459 4.3356
O 2.4512 -5.5112 -0.8298
Ba 3.6193 -2.3297 2.6514
O 1.7374 -1.1726 1.2610
Ba -1.2254 -1.9888 2.9452
Te 1.3770 -4.8826 4.5859
O 0.7457 -5.9373 1.1239
Te 1.0168 0.5641 1.0106
O -0.0574 1.1927 6.4264
```

Its space group is No. 12.



Density functional theory data (PBE) for crystalline BaLiThO4 at its relaxed geometry.

```
14
Lattice="-2.4425 1.4050 -4.0910 -5.1449 -0.7368 2.8187 1.4395 5.7400 4.1279" Properties=species:S:1:pos:R:3 pbc="T T T"
O -3.8176 0.6608 2.5063
Th -1.1238 4.6117 2.2548
Ba -4.9052 5.3098 1.7364
O -1.8527 2.5016 3.4733
Ba -1.2428 1.0984 1.1193
Li -2.3949 3.8441 -0.2658
O -2.4924 0.9648 -1.1965
O -3.0740 3.2041 1.4278
O 0.7197 2.8700 2.0639
Th -5.0242 1.7965 0.6008
O -0.5015 3.5725 0.0184
O -3.6556 5.4434 4.0521
Li -3.7531 2.5641 3.1215
O -2.3304 5.7473 0.3494
```

Its space group is No. 63.



Density functional theory data (PBE) for crystalline Ba2LiTiO4 at its relaxed geometry.

```
16
Lattice="-0.6093 -4.6232 1.0931 1.3986 -3.8030 -4.8122 8.7885 -2.7948 3.5712" Properties=species:S:1:pos:R:3 pbc="T T T"
Ba 5.6326 -2.6271 2.5215
O 5.6546 -8.2896 -0.3185
Li 4.6366 -6.7663 0.1993
Ti -0.3046 -2.3116 0.5465
O 8.1419 -4.2297 2.4997
O 3.9167 -2.9803 0.1821
Li 0.0000 0.0000 0.0000
O 0.7199 -3.7860 0.0172
O 8.5598 -9.6978 0.3699
Ba 1.4807 -6.5986 -0.8505
Ba 2.5466 -4.7909 2.1428
Ba 7.7925 -6.9340 1.2491
Ti 4.9412 -4.4547 -0.3472
O 4.3011 -5.8407 -1.4303
O 1.7341 -4.7287 -3.1826
O 5.2832 -5.3315 1.2708
```

Its space group is No. 70.



Density functional theory data (PBE) for crystalline Ba3LiTi3O8 at its relaxed geometry.

```
15
Lattice="-4.4239 1.9001 3.3632 3.9210 -3.7517 2.2482 3.8857 6.8101 0.5777" Properties=species:S:1:pos:R:3 pbc="T T T"
O 5.1613 1.5574 2.8834
Ba 2.4905 0.9819 2.5614
O 3.1457 3.4878 1.8028
O 5.7955 4.4506 2.2055
O 3.6418 5.1471 4.0095
O 1.8667 7.3757 2.7007
Ba 3.8490 6.1185 0.9988
O 0.3827 2.3378 1.2068
Ti -0.9329 2.0447 2.4993
Ti 4.4887 3.7241 3.2836
O -1.7517 3.6462 2.8705
Li -0.8202 -0.0498 4.2401
O 0.0637 1.6749 4.0322
Ti 5.7366 -0.2254 2.4708
Ba 1.0384 4.6348 3.4705
```

Its space group is No. 1. Its energy above the lowest structure with this stoichiometry is 22 meV/atom.



Density functional theory data (PBE) for crystalline Ba3LiTi3O8 at its relaxed geometry.

```
15
Lattice="-0.2743 0.4792 5.7310 -1.6574 -4.6084 3.1007 6.7306 -2.2894 0.6760" Properties=species:S:1:pos:R:3 pbc="T T T"
Li -0.1371 0.2396 2.8655
O -0.5169 -3.8792 7.4176
Ti 0.8323 -3.5694 5.9972
Ba 4.1808 -4.2939 6.4698
O 5.3158 -2.5395 2.0901
Ba 3.3653 -1.1447 0.3380
O 3.2282 -0.9051 3.2035
O 5.2055 -2.2882 4.8858
O -0.4065 -4.1304 4.6219
O 0.3355 -1.6030 5.9331
Ti 3.9667 -2.8493 3.5105
O 2.3995 -3.2093 4.7539
Ti 0.0000 0.0000 0.0000
O 4.4634 -4.8157 3.5746
Ba 0.6181 -2.1247 3.0379
```

Its space group is No. 2. Its energy above the lowest structure with this stoichiometry is 53 meV/atom.



Density functional theory data (PBE) for crystalline Ba3LiTi3O8 at its relaxed geometry.

```
15
Lattice="2.2660 -4.2153 3.5928 5.2774 0.5644 2.7645 -2.7998 2.7933 5.9394" Properties=species:S:1:pos:R:3 pbc="T T T"
O 3.4193 0.0858 3.4495
Ti 0.0000 0.0000 0.0000
O 0.8001 -0.1485 2.0520
O 3.9435 -0.7091 10.2447
Ba -1.3999 1.3966 2.9697
Ti 3.2358 -0.5775 8.4310
Ba 0.0329 1.1420 6.7095
Ba 4.7107 -1.9996 5.5872
O 2.7745 1.3584 8.4483
Ti 1.5078 -0.2800 3.8657
Li 3.7717 -1.8254 3.1786
O 1.2388 1.6788 4.3520
O 1.9691 -2.2160 3.8484
O 1.3243 -0.9434 8.8472
O -0.2669 -0.7110 4.7661
```

Its space group is No. 12. Its energy above the lowest structure with this stoichiometry is 12 meV/atom.



Number 1: E_form (uncorrected) -1807 meV/atom, magnetic moment 1.10 μB/f.u.. Number 2: E_form (uncorrected) -1966 meV/atom, magnetic moment 3.08 μB/f.u.. Number 3: E_form (uncorrected) -2099 meV/atom, magnetic moment 0.00 μB/f.u.. Number 4: E_form (uncorrected) -2062 meV/atom, magnetic moment 2.97 μB/f.u.. Number 5: E_form (uncorrected) -2136 meV/atom, magnetic moment 0.00 μB/f.u.. Number 6: E_form (uncorrected) -2143 meV/atom, magnetic moment 0.00 μB/f.u.. Number 7: E_form (uncorrected) -1721 meV/atom, magnetic moment 0.00 μB/f.u.. Number 8: E_form (uncorrected) -1943 meV/atom, magnetic moment 2.00 μB/f.u.. Number 9: E_form (uncorrected) -2053 meV/atom, magnetic moment 0.00 μB/f.u.. Number 10: E_form (uncorrected) -1454 meV/atom, magnetic moment 0.65 μB/f.u.. Number 11: E_form (uncorrected) -1938 meV/atom, magnetic moment 0.00 μB/f.u.. Number 12: E_form (uncorrected) -1819 meV/atom, magnetic moment 0.00 μB/f.u.. Number 13: E_form (uncorrected) -1983 meV/atom, magnetic moment 0.00 μB/f.u.. Number 14: E_form (uncorrected) -1633 meV/atom, magnetic moment 0.00 μB/f.u.. Number 15: E_form (uncorrected) -2563 meV/atom, magnetic moment 0.38 μB/f.u.. Number 16: E_form (uncorrected) -2415 meV/atom, magnetic moment 0.00 μB/f.u.. Number 17: E_form (uncorrected) -2657 meV/atom, magnetic moment 1.06 μB/f.u.. Number 18: E_form (uncorrected) -2626 meV/atom, magnetic moment 1.93 μB/f.u.. Number 19: E_form (uncorrected) -2667 meV/atom, magnetic moment 2.33 μB/f.u..